Here is a geometry-optimized Rb2Li3ThF12 structure from Alexandria via LeMat-Bulk. Energies are from GGA-PBE.

Magnetic moment ... 3.03 μB/f.u.
D(E_F) ... 16.7 states/eV/cell

Lattice parameters (Å, degrees): 6.930 6.930 6.930 66.50 66.50 66.50
Positions (direct):
F1 0.899 0.246 0.246
Li1 0.500 0.000 0.000
Rb1 0.603 0.603 0.603
F2 0.608 0.137 0.137
F3 0.754 0.754 0.101
F4 0.246 0.899 0.246
F5 0.754 0.101 0.754
F6 0.863 0.392 0.863
Rb2 0.397 0.397 0.397
F7 0.137 0.608 0.137
F8 0.137 0.137 0.608
Li2 0.000 0.000 0.500
F9 0.101 0.754 0.754
F10 0.392 0.863 0.863
Li3 0.000 0.500 0.000
F11 0.246 0.246 0.899
F12 0.863 0.863 0.392
Th1 0.000 0.000 0.000

---

Here is a geometry-optimized Rb2LiTiF6 structure from Alexandria via LeMat-Bulk. Energies are from GGA-PBE.

Magnetic moment ... 1.00 μB/f.u.
D(E_F) ... 16.0 states/eV/cell

Lattice parameters (Å, degrees): 5.924 5.924 5.936 60.07 60.07 90.00
Positions (direct):
F1 0.762 0.238 0.000
F2 0.242 0.242 0.515
Ti1 0.000 0.000 0.000
F3 0.238 0.762 0.000
Rb1 0.750 0.250 0.500
F4 0.238 0.238 0.000
F5 0.758 0.758 0.485
Rb2 0.250 0.750 0.500
F6 0.762 0.762 0.000
Li1 0.500 0.500 0.000

---

Here is a geometry-optimized RbLi2TiF8 structure from Alexandria via LeMat-Bulk. Energies are from GGA-PBE.

Magnetic moment ... 1.14 μB/f.u.

Lattice parameters (Å, degrees): 5.045 5.045 7.736 77.09 77.09 73.42
Positions (direct):
F1 0.765 0.765 0.018
F2 0.185 0.743 0.183
Ti1 0.000 0.000 0.000
F3 0.235 0.235 0.982
F4 0.743 0.185 0.183
F5 0.624 0.624 0.437
F6 0.376 0.376 0.563
Rb1 0.000 0.000 0.500
F7 0.815 0.257 0.817
F8 0.257 0.815 0.817
Li1 0.563 0.563 0.211
Li2 0.437 0.437 0.789

---

| no. | E_form (uncorrected) (eV/f.u.) |
| --- | --- |
| 1 | -48.1 |
| 2 | -30.7 |
| 3 | -34.9 |